No. 1
Ba4CdHg: relaxed, PBE-GGA.

Unit cell a=5.945 b=5.945 c=8.432 alpha=90.00 beta=90.00 gamma=90.00
Sites, in units of the cell vectors:
Ba1 0.000 0.500 0.246
Ba2 0.000 0.500 0.754
Ba3 0.500 0.000 0.246
Ba4 0.500 0.000 0.754
Cd1 0.000 0.000 0.500
Hg1 0.500 0.500 0.000

Excess energy over the best structure of this formula in the dataset, meV/atom: 116
Density of states at the Fermi level, states/eV per cell: 11.69
Energy of formation from the pure elements, eV/f.u.: -1.1
E_tot, eV per atom: -1.67
Total moment, μB/f.u.: 0.01

---

No. 2
Rb3Ce2US6: relaxed, PBE-GGA.

Unit cell a=7.244 b=7.244 c=8.083 alpha=98.59 beta=98.59 gamma=120.00
Sites, in units of the cell vectors:
Rb1 0.000 0.000 0.000
Rb2 0.332 0.668 0.000
Rb3 0.668 0.332 0.000
Ce1 0.167 0.833 0.500
Ce2 0.833 0.167 0.500
U1 0.500 0.500 0.500
S1 0.110 0.435 0.305
S2 0.240 0.240 0.695
S3 0.435 0.110 0.305
S4 0.565 0.890 0.695
S5 0.760 0.760 0.305
S6 0.890 0.565 0.695

Density of states at the Fermi level, states/eV per cell: 19.04
E_tot, eV per atom: -5.86
Total moment, μB/f.u.: 5.01

---

No. 3
Ca3ScS: relaxed, PBE-GGA.

Unit cell a=5.818 b=5.818 c=5.818 alpha=90.00 beta=90.00 gamma=90.00
Sites, in units of the cell vectors:
Ca1 0.000 0.000 0.500
Ca2 0.000 0.500 0.000
Ca3 0.500 0.000 0.000
Sc1 0.000 0.000 0.000
S1 0.500 0.500 0.500

Excess energy over the best structure of this formula in the dataset, meV/atom: 1229
Density of states at the Fermi level, states/eV per cell: 2.84
E_tot, eV per atom: -2.57
Total moment, μB/f.u.: 4.69

---

No. 4
YNi9Ge2: relaxed, PBE-GGA.

Unit cell a=8.213 b=8.213 c=8.213 alpha=34.32 beta=34.32 gamma=34.32
Sites, in units of the cell vectors:
Y1 0.000 0.000 0.000
Ni1 0.081 0.590 0.590
Ni2 0.334 0.334 0.334
Ni3 0.410 0.410 0.919
Ni4 0.410 0.919 0.410
Ni5 0.500 0.500 0.500
Ni6 0.590 0.081 0.590
Ni7 0.590 0.590 0.081
Ni8 0.666 0.666 0.666
Ni9 0.919 0.410 0.410
Ge1 0.138 0.138 0.138
Ge2 0.862 0.862 0.862

Density of states at the Fermi level, states/eV per cell: 12.25
Energy of formation from the pure elements, eV/f.u.: -2.0
E_tot, eV per atom: -5.81
Total moment, μB/f.u.: 0.01